MnAl2P2H18O18: relaxed, PBE+U.

Lattice parameters (Å, degrees): 5.2682 6.9963 10.4779 95.93 101.66 110.04
Each line ends with the local moment (μB).
Positions (direct):
Mn (0.0000, 0.0000, 0.0000)  4.68
Al (0.5000, 0.0000, 0.5000)  0.00
Al (0.5000, 0.5000, 0.5000)  0.00
P (0.9894, 0.0828, 0.3369)  0.00
P (0.0106, 0.9172, 0.6631)  0.00
H (0.1685, 0.6747, 0.5136)  0.00
H (0.8315, 0.3253, 0.4864)  0.00
H (0.3838, 0.2945, 0.6680)  0.00
H (0.6162, 0.7055, 0.3320)  0.00
H (0.3134, 0.4896, 0.7195)  0.00
H (0.6866, 0.5104, 0.2805)  0.00
H (0.6799, 0.5770, 0.9050)  0.00
H (0.3201, 0.4230, 0.0950)  0.00
H (0.8145, 0.5957, 0.0570)  0.00
H (0.1855, 0.4043, 0.9430)  0.00
H (0.6960, 0.0593, 0.7898)  0.00
H (0.3040, 0.9407, 0.2102)  0.00
H (0.4602, 0.0062, 0.8668)  0.00
H (0.5398, 0.9938, 0.1332)  0.00
H (0.9055, 0.3428, 0.1867)  0.00
H (0.0945, 0.6572, 0.8133)  0.00
H (0.0881, 0.5720, 0.2600)  0.00
H (0.9119, 0.4280, 0.7400)  0.00
O (0.1926, 0.9647, 0.3510)  0.00
O (0.8074, 0.0353, 0.6490)  0.00
O (0.1272, 0.3016, 0.4258)  0.00
O (0.8728, 0.6984, 0.5742)  0.00
O (0.9030, 0.1007, 0.1889)  0.02
O (0.0970, 0.8993, 0.8111)  0.02
O (0.2803, 0.0412, 0.6220)  0.00
O (0.7197, 0.9588, 0.3780)  0.00
O (0.3555, 0.7103, 0.4969)  0.00
O (0.6445, 0.2898, 0.5031)  0.00
O (0.4522, 0.4507, 0.6793)  0.00
O (0.5478, 0.5493, 0.3207)  0.00
O (0.7481, 0.6710, 0.9906)  0.01
O (0.2519, 0.3290, 0.0094)  0.01
O (0.6663, 0.0679, 0.8810)  0.01
O (0.3337, 0.9321, 0.1190)  0.01
O (0.9092, 0.4885, 0.1968)  0.00
O (0.0908, 0.5115, 0.8032)  0.00

Values from the calculation:
DOS(E_F) = 0.00 states/eV/cell
final energy = -5.83 eV per atom
total magnetization = 5.0 μB per cell